# 1
Entry from Alexandria via LeMat-Bulk: a geometry-optimized Tb2CeDySc4 structure (PBE).

Values from the calculation:
calculated formation energy: 0.0666 eV per atom
final energy: -5.574 eV per atom
volume: 220.3 Å³ per cell

```
data_Tb2CeDySc4
_chemical_formula_sum 'Tb2 Ce1 Dy1 Sc4'
_cell_length_a 5.911
_cell_length_b 3.410
_cell_length_c 11.111
_cell_angle_alpha 90.00
_cell_angle_beta 100.31
_cell_angle_gamma 90.00
_space_group_name_H-M_alt 'P 1 2/m 1'
_space_group_IT_number 10
loop_
_space_group_symop_operation_xyz
'x,y,z'
'-x,-y,-z'
'-x,y,-z'
'x,-y,z'
loop_
_atom_site_label
_atom_site_type_symbol
_atom_site_fract_x
_atom_site_fract_y
_atom_site_fract_z
Tb1 Tb 0.000 0.000 0.000
Tb2 Tb 0.000 0.500 0.500
Ce1 Ce 0.500 0.000 0.500
Dy1 Dy 0.500 0.500 0.000
Sc1 Sc 0.254 0.000 0.749
Sc2 Sc 0.256 0.500 0.253
```

=====

# 2
Entry from Alexandria via LeMat-Bulk: a geometry-optimized Tb6CeDy3Sc2 structure (PBE).

Values from the calculation:
calculated formation energy: 0.0532 eV per atom
final energy: -4.962 eV per atom
volume: 730.4 Å³ per cell

```
data_Tb6CeDy3Sc2
_chemical_formula_sum 'Tb12 Ce2 Dy6 Sc4'
_cell_length_a 6.071
_cell_length_b 10.512
_cell_length_c 11.623
_cell_angle_alpha 90.00
_cell_angle_beta 100.03
_cell_angle_gamma 90.00
_space_group_name_H-M_alt 'C 1 2/m 1'
_space_group_IT_number 12
loop_
_space_group_symop_operation_xyz
'x,y,z'
'-x,-y,-z'
'-x,y,-z'
'x,-y,z'
'x+1/2,y+1/2,z'
'-x+1/2,-y+1/2,-z'
'-x+1/2,y+1/2,-z'
'x+1/2,-y+1/2,z'
loop_
_atom_site_label
_atom_site_type_symbol
_atom_site_fract_x
_atom_site_fract_y
_atom_site_fract_z
Tb1 Tb 0.248 0.000 0.245
Tb2 Tb 0.249 0.333 0.245
Ce1 Ce 0.000 0.500 0.000
Dy1 Dy 0.000 0.000 0.500
Dy2 Dy 0.000 0.332 0.500
Sc1 Sc 0.000 0.167 0.000
```

=====

# 3
Entry from Alexandria via LeMat-Bulk: a geometry-optimized Tb3CeDy6Sc2 structure (PBE).

Values from the calculation:
calculated formation energy: 0.0525 eV per atom
final energy: -4.956 eV per atom
volume: 727.4 Å³ per cell

```
data_Tb3CeDy6Sc2
_chemical_formula_sum 'Tb6 Ce2 Dy12 Sc4'
_cell_length_a 6.060
_cell_length_b 10.492
_cell_length_c 11.617
_cell_angle_alpha 90.00
_cell_angle_beta 100.01
_cell_angle_gamma 90.00
_space_group_name_H-M_alt 'C 1 2/m 1'
_space_group_IT_number 12
loop_
_space_group_symop_operation_xyz
'x,y,z'
'-x,-y,-z'
'-x,y,-z'
'x,-y,z'
'x+1/2,y+1/2,z'
'-x+1/2,-y+1/2,-z'
'-x+1/2,y+1/2,-z'
'x+1/2,-y+1/2,z'
loop_
_atom_site_label
_atom_site_type_symbol
_atom_site_fract_x
_atom_site_fract_y
_atom_site_fract_z
Tb1 Tb 0.000 0.000 0.000
Tb2 Tb 0.000 0.332 0.000
Ce1 Ce 0.000 0.500 0.500
Dy1 Dy 0.248 0.000 0.745
Dy2 Dy 0.249 0.333 0.745
Sc1 Sc 0.000 0.167 0.500
```

=====

# 4
Entry from Alexandria via LeMat-Bulk: a geometry-optimized Ce3DySc2Te6 structure (PBE).

Values from the calculation:
formation energy (no corrections): -1.2655 eV/atom
final energy: -5.759 eV per atom
volume: 703.0 Å³ per cell

```
data_Ce3DySc2Te6
_chemical_formula_sum 'Ce6 Dy2 Sc4 Te12'
_cell_length_a 7.476
_cell_length_b 12.966
_cell_length_c 7.671
_cell_angle_alpha 90.00
_cell_angle_beta 109.03
_cell_angle_gamma 90.00
_space_group_name_H-M_alt 'C 1 2/m 1'
_space_group_IT_number 12
loop_
_space_group_symop_operation_xyz
'x,y,z'
'-x,-y,-z'
'-x,y,-z'
'x,-y,z'
'x+1/2,y+1/2,z'
'-x+1/2,-y+1/2,-z'
'-x+1/2,y+1/2,-z'
'x+1/2,-y+1/2,z'
loop_
_atom_site_label
_atom_site_type_symbol
_atom_site_fract_x
_atom_site_fract_y
_atom_site_fract_z
Ce1 Ce 0.000 0.000 0.000
Ce2 Ce 0.000 0.339 0.000
Dy1 Dy 0.000 0.500 0.500
Sc1 Sc 0.000 0.169 0.500
Te1 Te 0.232 0.000 0.725
Te2 Te 0.249 0.329 0.732
```